(1)
# FeOs2Rh, relaxed, DFT PBE
# Total DFT energy (no corrections), eV/atom: -8.271
# Formation energy, eV/atom: 1.298
# ρ, g/cm³: 11.6
data_FeOs2Rh
_cell_length_a 5.446
_cell_length_b 5.446
_cell_length_c 10.414
_cell_angle_alpha 90.00
_cell_angle_beta 90.00
_cell_angle_gamma 90.00
_space_group_name_H-M_alt 'I -4 2 d'
_space_group_IT_number 122
_space_group_name_Hall 'I -4 2bw'
loop_
_atom_site_label
_atom_site_type_symbol
_atom_site_fract_x
_atom_site_fract_y
_atom_site_fract_z
Fe1 Fe 0.000 0.000 0.000
Os1 Os 0.223 0.250 0.125
Rh1 Rh 0.000 0.000 0.500

(2)
# SrBiAu4, relaxed, DFT PBE
# Total DFT energy (no corrections), eV/atom: -3.532
# Formation energy, eV/atom: -0.420
# ρ, g/cm³: 13.2
data_SrBiAu4
_cell_length_a 8.166
_cell_length_b 8.166
_cell_length_c 8.166
_cell_angle_alpha 90.00
_cell_angle_beta 90.00
_cell_angle_gamma 90.00
_space_group_name_H-M_alt 'F -4 3 m'
_space_group_IT_number 216
_space_group_name_Hall 'F -4 2 3'
loop_
_atom_site_label
_atom_site_type_symbol
_atom_site_fract_x
_atom_site_fract_y
_atom_site_fract_z
Sr1 Sr 0.000 0.000 0.000
Bi1 Bi 0.250 0.250 0.250
Au1 Au 0.125 0.125 0.625

(3)
# U4AsSe3, relaxed, DFT PBE
# Total DFT energy (no corrections), eV/atom: -8.466
# Formation energy without anion corrections, eV/atom: -0.93
# ρ, g/cm³: 11.1
data_U4AsSe3
_cell_length_a 7.887
_cell_length_b 11.502
_cell_length_c 4.181
_cell_angle_alpha 90.00
_cell_angle_beta 90.00
_cell_angle_gamma 90.00
_space_group_name_H-M_alt 'C m m m'
_space_group_IT_number 65
_space_group_name_Hall '-C 2 2'
loop_
_atom_site_label
_atom_site_type_symbol
_atom_site_fract_x
_atom_site_fract_y
_atom_site_fract_z
U1 U 0.000 0.249 0.000
U2 U 0.249 0.000 0.500
As1 As 0.000 0.000 0.000
Se1 Se 0.000 0.500 0.000
Se2 Se 0.250 0.250 0.500

(4)
# CrSnIr2, relaxed, DFT PBE
# Total DFT energy (no corrections), eV/atom: -7.198
# Formation energy, eV/atom: 0.639
# ρ, g/cm³: 10.2
data_CrSnIr2
_cell_length_a 5.627
_cell_length_b 5.627
_cell_length_c 11.365
_cell_angle_alpha 90.00
_cell_angle_beta 90.00
_cell_angle_gamma 90.00
_space_group_name_H-M_alt 'I -4 2 d'
_space_group_IT_number 122
_space_group_name_Hall 'I -4 2bw'
loop_
_atom_site_label
_atom_site_type_symbol
_atom_site_fract_x
_atom_site_fract_y
_atom_site_fract_z
Cr1 Cr 0.000 0.000 0.000
Sn1 Sn 0.000 0.000 0.500
Ir1 Ir 0.202 0.250 0.125